Entry 1:
Entry from Alexandria via LeMat-Bulk: crystalline Ba2SrMgPd at its relaxed geometry (PBE).

The structure in CIF format:
```
data_Ba2SrMgPd
_symmetry_space_group_name_H-M 'P 4/m m m'
_symmetry_Int_Tables_number 123
_symmetry_space_group_name_Hall '-P 4 2'
_cell_length_a 6.227
_cell_length_b 6.227
_cell_length_c 5.958
_cell_angle_alpha 90.00
_cell_angle_beta 90.00
_cell_angle_gamma 90.00
loop_
_atom_site_label
_atom_site_fract_x
_atom_site_fract_y
_atom_site_fract_z
Ba1 0.000 0.500 0.000
Sr1 0.000 0.000 0.500
Mg1 0.500 0.500 0.500
Pd1 0.000 0.000 0.000
```

## Properties
E = -13.3 eV/f.u.
calculated volume = 231 Å³/cell
relative energy among the computed polymorphs = 3 meV per atom
ΔE_f = -0.20 eV per atom
magnetic moment = 0.00 μB per cell

Entry 2:
Entry from Alexandria via LeMat-Bulk: crystalline BaMgTa2Pd at its relaxed geometry (PBE).

The structure in CIF format:
```
data_BaMgTa2Pd
_symmetry_space_group_name_H-M 'P 4/m m m'
_symmetry_Int_Tables_number 123
_symmetry_space_group_name_Hall '-P 4 2'
_cell_length_a 5.091
_cell_length_b 5.091
_cell_length_c 5.288
_cell_angle_alpha 90.00
_cell_angle_beta 90.00
_cell_angle_gamma 90.00
loop_
_atom_site_label
_atom_site_fract_x
_atom_site_fract_y
_atom_site_fract_z
Ba1 0.000 0.000 0.000
Mg1 0.000 0.000 0.500
Ta1 0.000 0.500 0.000
Pd1 0.500 0.500 0.500
```

## Properties
E = -19.3 eV/f.u.
calculated volume = 137 Å³/cell
ΔE_f = 2.62 eV per atom
magnetic moment = 0.00 μB per cell

Question: The highest E belongs to which entry?
Answer: Ba2SrMgPd

Question: The lowest ΔE_f belongs to which entry?
Answer: Ba2SrMgPd

What did the second record say?
Entry from Alexandria via LeMat-Bulk: crystalline BaMgTa2Pd at its relaxed geometry (PBE).

The structure in CIF format:
```
data_BaMgTa2Pd
_symmetry_space_group_name_H-M 'P 4/m m m'
_symmetry_Int_Tables_number 123
_symmetry_space_group_name_Hall '-P 4 2'
_cell_length_a 5.091
_cell_length_b 5.091
_cell_length_c 5.288
_cell_angle_alpha 90.00
_cell_angle_beta 90.00
_cell_angle_gamma 90.00
loop_
_atom_site_label
_atom_site_fract_x
_atom_site_fract_y
_atom_site_fract_z
Ba1 0.000 0.000 0.000
Mg1 0.000 0.000 0.500
Ta1 0.000 0.500 0.000
Pd1 0.500 0.500 0.500
```

## Properties
E = -19.3 eV/f.u.
calculated volume = 137 Å³/cell
ΔE_f = 2.62 eV per atom
magnetic moment = 0.00 μB per cell

Question: Which of these has the lowest E?
Answer: BaMgTa2Pd